[1]
## SnBi3Pb (GGA-PBEsol)

Data for crystalline SnBi3Pb at its relaxed geometry.

Cell lengths 5.705, 5.705, 5.705 Å; angles 90.00, 90.00, 90.00 degrees
Fractional coordinates of all 5 atoms:
Sn 0.000 0.000 0.000
Bi 0.000 0.000 0.500
Bi 0.000 0.500 0.000
Bi 0.500 0.000 0.000
Pb 0.500 0.500 0.500

Values from the calculation:
N(E_F)   0.963 states/eV per atom
Final energy   -0.13210 Ha/atom
M_tot   0.0 μB per formula unit
SG   Pm-3m, No. 221
Energy of formation   60.6 kJ/mol of atoms


[2]
## NdB12 (GGA-PBEsol)

Data for crystalline NdB12 at its relaxed geometry.

Cell lengths 5.330, 5.330, 5.330 Å; angles 60.00, 60.00, 60.00 degrees
Fractional coordinates of all 13 atoms:
Nd 0.000 0.000 0.000
B 0.163 0.500 0.500
B 0.163 0.500 0.837
B 0.163 0.837 0.500
B 0.500 0.163 0.500
B 0.500 0.163 0.837
B 0.500 0.500 0.163
B 0.500 0.500 0.837
B 0.500 0.837 0.163
B 0.500 0.837 0.500
B 0.837 0.163 0.500
B 0.837 0.500 0.163
B 0.837 0.500 0.500

Values from the calculation:
N(E_F)   0.035 states/eV per atom
Final energy   -0.26154 Ha/atom
M_tot   0.0 μB per formula unit
SG   Fm-3m, No. 225
Energy of formation   -23.4 kJ/mol of atoms


[3]
## Li3YZr (GGA-PBEsol)

Data for crystalline Li3YZr at its relaxed geometry.

Cell lengths 4.981, 4.981, 4.981 Å; angles 90.00, 90.00, 90.00 degrees
Fractional coordinates of all 5 atoms:
Li 0.000 0.000 0.500
Li 0.000 0.500 0.000
Li 0.500 0.000 0.000
Y 0.500 0.500 0.500
Zr 0.000 0.000 0.000

Values from the calculation:
N(E_F)   1.280 states/eV per atom
Final energy   -0.12251 Ha/atom
M_tot   3.4 μB per formula unit
SG   Pm-3m, No. 221
Energy of formation   99.2 kJ/mol of atoms